DFT (PBE) results for an optimized crystal structure of Pr2Sc2CI5.

abc: 10.231 10.231 8.903
angles: 102.45 102.45 22.38
Site moments in Bohr magnetons follow the coordinates.
Sites, in units of the cell vectors:
C: 0.500 0.500 0.000  0.00
I: 0.837 0.837 0.147  0.00
I: 0.164 0.164 0.304  0.00
I: 0.500 0.500 0.500  0.00
I: 0.836 0.836 0.696  0.00
I: 0.163 0.163 0.853  0.00
Pr: 0.001 0.001 0.198  0.02
Pr: 0.999 0.999 0.802  0.02
Sc: 0.615 0.615 0.056  0.06
Sc: 0.385 0.385 0.944  0.06

Summary:
DFT total energy: -5.001 eV per atom

***

DFT (PBE) results for an optimized crystal structure of PrSmCI.

abc: 8.088 8.088 8.088
angles: 27.72 27.72 27.72
Sites, in units of the cell vectors:
C: 0.503 0.503 0.503
I: 0.998 0.998 0.998
Pr: 0.775 0.775 0.775
Sm: 0.224 0.224 0.224

Summary:
DFT total energy: -5.762 eV per atom

***

DFT (PBE) results for an optimized crystal structure of Pr2Tm2CI5.

abc: 10.030 10.030 8.901
angles: 102.28 102.28 23.25
Site moments in Bohr magnetons follow the coordinates.
Sites, in units of the cell vectors:
C: 0.500 0.500 0.000  0.00
I: 0.831 0.831 0.156  0.00
I: 0.167 0.167 0.319  0.00
I: 0.500 0.500 0.500  0.00
I: 0.833 0.833 0.681  0.00
I: 0.169 0.169 0.844  0.00
Pr: 0.000 0.000 0.197  0.02
Pr: 0.000 0.000 0.803  0.02
Tm: 0.623 0.623 0.060  0.06
Tm: 0.377 0.377 0.940  0.06

Summary:
DFT total energy: -4.636 eV per atom

***

DFT (PBE) results for an optimized crystal structure of Pr2Tm2CI5.

abc: 9.681 9.681 8.750
angles: 102.99 102.99 23.71
Sites, in units of the cell vectors:
C: 0.500 0.500 0.000
I: 0.835 0.835 0.196
I: 0.160 0.160 0.356
I: 0.500 0.500 0.500
I: 0.840 0.840 0.644
I: 0.165 0.165 0.804
Pr: 0.638 0.638 0.069
Pr: 0.362 0.362 0.931
Tm: 0.000 0.000 0.183
Tm: 0.000 0.000 0.817

Summary:
DFT total energy: -4.614 eV per atom

***

DFT (PBE) results for an optimized crystal structure of PrYCI.

abc: 7.987 7.987 7.987
angles: 27.81 27.81 27.81
Sites, in units of the cell vectors:
C: 0.494 0.494 0.494
I: 0.005 0.005 0.005
Pr: 0.224 0.224 0.224
Y: 0.777 0.777 0.777

Summary:
DFT total energy: -6.215 eV per atom

***

DFT (PBE) results for an optimized crystal structure of Pu2C2I.

abc: 7.987 7.987 6.507
angles: 99.13 99.13 29.75
Site moments in Bohr magnetons follow the coordinates.
Sites, in units of the cell vectors:
C: 0.346 0.105 0.027  -0.09
C: 0.895 0.654 0.473  -0.09
C: 0.105 0.346 0.527  -0.09
C: 0.654 0.895 0.973  -0.09
I: 0.206 0.794 0.250  -0.05
I: 0.794 0.206 0.750  -0.05
Pu: 0.843 0.478 0.154  4.96
Pu: 0.522 0.157 0.346  4.94
Pu: 0.478 0.843 0.654  4.94
Pu: 0.157 0.522 0.846  4.96

Summary:
DFT total energy: -10.101 eV per atom

***

DFT (PBE) results for an optimized crystal structure of Sm2Sc2CI5.

abc: 9.523 9.523 8.520
angles: 102.69 102.69 23.76
Sites, in units of the cell vectors:
C: 0.500 0.500 0.000
I: 0.836 0.836 0.193
I: 0.159 0.159 0.351
I: 0.500 0.500 0.500
I: 0.841 0.841 0.649
I: 0.164 0.164 0.807
Sc: 0.000 0.000 0.176
Sc: 0.000 0.000 0.824
Sm: 0.634 0.634 0.067
Sm: 0.366 0.366 0.933

Summary:
DFT total energy: -4.931 eV per atom

***

DFT (PBE) results for an optimized crystal structure of Tm2Sc2CI5.

abc: 10.167 10.167 8.253
angles: 101.47 101.47 21.94
Sites, in units of the cell vectors:
C: 0.500 0.500 0.000
I: 0.846 0.846 0.186
I: 0.153 0.153 0.337
I: 0.500 0.500 0.500
I: 0.847 0.847 0.663
I: 0.154 0.154 0.814
Sc: 0.000 0.000 0.180
Sc: 0.000 0.000 0.820
Tm: 0.618 0.618 0.058
Tm: 0.382 0.382 0.942

Summary:
DFT total energy: -4.875 eV per atom